# 1
DFT (GGA-PBE) results for LiCa2PaN4 after structural relaxation.

Results
* crystal system: orthorhombic
* total DFT energy (no corrections): -7.060 eV/atom

a b c (Å): 3.5821 12.2249 10.3292
angles (deg): 90.00 90.00 90.00
Space group Cmcm (No. 63)
Asymmetric unit:
Li 0.0000 0.1795 0.2500 [4 per cell]
Ca 0.0000 0.3750 0.5333 [8 per cell]
Pa 0.0000 0.0535 0.7500 [4 per cell]
N 0.0000 0.0000 0.0000 [4 per cell]
N 0.0000 0.3255 0.1800 [8 per cell]
N 0.0000 0.4351 0.7500 [4 per cell]

***

# 2
DFT (GGA-PBE) results for ScPb after structural relaxation.

Results
* E_form: -0.035 eV per atom
* crystal system: tetragonal
* total DFT energy (no corrections): -5.055 eV/atom

a b c (Å): 9.0987 9.0987 5.7009
angles (deg): 90.00 90.00 90.00
Space group I4/m (No. 87)
Asymmetric unit:
Sc 0.0692 0.3443 0.0000 [8 per cell]
Pb 0.1070 0.2272 0.5000 [8 per cell]

***

# 3
DFT (GGA-PBE) results for K2DyInSe4 after structural relaxation.

Results
* crystal system: orthorhombic
* total DFT energy (no corrections): -4.179 eV/atom

a b c (Å): 8.5837 8.6551 12.3341
angles (deg): 90.00 90.00 90.00
Space group Imma (No. 74)
Asymmetric unit:
K 0.0000 0.0000 0.0000 [4 per cell]
K 0.2500 0.2500 0.2500 [4 per cell]
Dy 0.0000 0.0000 0.5000 [4 per cell]
In 0.2500 0.2500 0.7500 [4 per cell]
Se 0.0000 0.0340 0.7378 [8 per cell]
Se 0.2242 0.2500 0.5129 [8 per cell]

***

# 4
DFT (GGA-PBE) results for Sm4GaAgAu2 after structural relaxation.

Results
* E_form: -0.596 eV per atom
* crystal system: trigonal
* total DFT energy (no corrections): -4.510 eV/atom

a b c (Å): 5.2040 5.2040 25.5465
angles (deg): 90.00 90.00 120.00
Space group R-3m (No. 166, hexagonal axes)
Asymmetric unit:
Sm 0.0000 0.0000 0.1240 [6 per cell]
Sm 0.0000 0.0000 0.3746 [6 per cell]
Ga 0.0000 0.0000 0.0000 [3 per cell]
Ag 0.0000 0.0000 0.5000 [3 per cell]
Au 0.0000 0.0000 0.2502 [6 per cell]

***

# 5
DFT (GGA-PBE) results for CsNaAsC2 after structural relaxation.

Results
* E_form: 2.351 eV per atom
* crystal system: tetragonal
* total DFT energy (no corrections): -2.703 eV/atom

a b c (Å): 5.2618 5.2618 5.3277
angles (deg): 90.00 90.00 90.00
Space group P4/mmm (No. 123)
Asymmetric unit:
Cs 0.0000 0.0000 0.0000 [1 per cell]
Na 0.5000 0.5000 0.5000 [1 per cell]
As 0.5000 0.5000 0.0000 [1 per cell]
C 0.0000 0.5000 0.5000 [2 per cell]

***

# 6
DFT (GGA-PBE) results for Cs2GaTe3 after structural relaxation.

Results
* crystal system: monoclinic
* total DFT energy (no corrections): -3.088 eV/atom

a b c (Å): 14.7627 10.8172 6.7618
angles (deg): 90.00 93.93 90.00
Space group C2/c (No. 15)
Asymmetric unit:
Cs 0.1479 0.1629 0.2457 [8 per cell]
Ga 0.0000 0.3876 0.7500 [4 per cell]
Te 0.0000 0.1500 0.7500 [4 per cell]
Te 0.1347 0.4946 0.4465 [8 per cell]

***

# 7
DFT (GGA-PBE) results for SmPaP2N6 after structural relaxation.

Results
* crystal system: monoclinic
* total DFT energy (no corrections): -8.374 eV/atom

a b c (Å): 7.8058 11.0903 7.0387
angles (deg): 90.00 105.01 90.00
Space group C2/c (No. 15)
Asymmetric unit:
Sm 0.0000 0.0830 0.2500 [4 per cell]
Pa 0.0000 0.4309 0.7500 [4 per cell]
P 0.2404 0.3387 0.2417 [8 per cell]
N 0.0784 0.3967 0.0801 [8 per cell]
N 0.1532 0.0665 0.6084 [8 per cell]
N 0.2292 0.3014 0.7530 [8 per cell]

***

# 8
DFT (GGA-PBE) results for La2MnSnC after structural relaxation.

Results
* E_form: -0.299 eV per atom
* crystal system: tetragonal
* total DFT energy (no corrections): -6.749 eV/atom

a b c (Å): 5.4735 5.4735 3.9028
angles (deg): 90.00 90.00 90.00
Space group P4/mmm (No. 123)
Asymmetric unit:
La 0.0000 0.5000 0.0000 [2 per cell]
Mn 0.0000 0.0000 0.5000 [1 per cell]
Sn 0.5000 0.5000 0.5000 [1 per cell]
C 0.0000 0.0000 0.0000 [1 per cell]

***

# 9
DFT (GGA-PBE) results for Ti8RhN2 after structural relaxation.

Results
* crystal system: monoclinic
* total DFT energy (no corrections): -8.492 eV/atom

a b c (Å): 6.9685 10.2015 4.3534
angles (deg): 90.00 102.49 90.00
Space group C2/m (No. 12)
Asymmetric unit:
Ti 0.0000 0.2466 0.0000 [4 per cell]
Ti 0.0963 0.5000 0.8058 [4 per cell]
Ti 0.2123 0.1310 0.5737 [8 per cell]
Rh 0.0000 0.0000 0.0000 [2 per cell]
N 0.0000 0.3036 0.5000 [4 per cell]

***

# 10
DFT (GGA-PBE) results for Pa3Co5H12 after structural relaxation.

Results
* crystal system: cubic
* total DFT energy (no corrections): -5.299 eV/atom

a b c (Å): 11.1768 11.1768 11.1768
angles (deg): 90.00 90.00 90.00
Space group Ia-3d (No. 230)
Asymmetric unit:
Pa 0.0000 0.2500 0.1250 [24 per cell]
Co 0.0000 0.0000 0.0000 [16 per cell]
Co 0.0000 0.2500 0.3750 [24 per cell]
H 0.0424 0.0474 0.6361 [96 per cell]

***

> Look up the total DFT energy (no corrections) of the seventh one.

-8.374 eV/atom

***

> The highest total DFT energy (no corrections) belongs to which entry?

CsNaAsC2

***

> Which formula does entry 8 have?

La2MnSnC